No. 1
MnRu2Cl: optimized geometry, PBE.

```
data_MnRu2Cl
_chemical_formula_sum 'Mn4 Ru8 Cl4'
_symmetry_space_group_name_H-M 'F m -3 m'
_symmetry_Int_Tables_number 225
_symmetry_space_group_name_Hall '-F 4 2 3'
_cell_length_a 6.010
_cell_length_b 6.010
_cell_length_c 6.010
_cell_angle_alpha 90.00
_cell_angle_beta 90.00
_cell_angle_gamma 90.00
loop_
_atom_site_label
_atom_site_type_symbol
_atom_site_fract_x
_atom_site_fract_y
_atom_site_fract_z
Mn1 Mn 0.000 0.000 0.000
Ru1 Ru 0.250 0.250 0.250
Cl1 Cl 0.000 0.000 0.500
```

Computed properties:
* calculated density: 8.951 Mg/m³
* formation energy without anion corrections: 3.7 eV/f.u.
* M_tot: 0.00 μB/atom

***

No. 2
MnRu2Cl: optimized geometry, PBE.

```
data_MnRu2Cl
_chemical_formula_sum 'Mn3 Ru6 Cl3'
_symmetry_space_group_name_H-M 'R 3 m'
_symmetry_Int_Tables_number 160
_symmetry_space_group_name_Hall 'R 3 -2"'
_cell_length_a 2.8891
_cell_length_b 2.8891
_cell_length_c 24.8742
_cell_angle_alpha 90.00
_cell_angle_beta 90.00
_cell_angle_gamma 120.00
loop_
_atom_site_label
_atom_site_type_symbol
_atom_site_fract_x
_atom_site_fract_y
_atom_site_fract_z
Mn1 Mn 0.0000 0.0000 0.0000
Ru1 Ru 0.0000 0.0000 0.4984
Ru2 Ru 0.0000 0.0000 0.7530
Cl1 Cl 0.0000 0.0000 0.2607
```

Computed properties:
* calculated density: 8.105 Mg/m³
* formation energy without anion corrections: 1.1 eV/f.u.
* M_tot: 0.99 μB/atom

***

No. 3
MnRu2Cl: optimized geometry, PBE.

```
data_MnRu2Cl
_chemical_formula_sum 'Mn2 Ru4 Cl2'
_symmetry_space_group_name_H-M 'C 1 2/m 1'
_symmetry_Int_Tables_number 12
_cell_length_a 10.023
_cell_length_b 2.865
_cell_length_c 4.233
_cell_angle_alpha 90.00
_cell_angle_beta 94.08
_cell_angle_gamma 90.00
loop_
_symmetry_equiv_pos_as_xyz
'x,y,z'
'-x,-y,-z'
'-x,y,-z'
'x,-y,z'
'x+1/2,y+1/2,z'
'-x+1/2,-y+1/2,-z'
'-x+1/2,y+1/2,-z'
'x+1/2,-y+1/2,z'
loop_
_atom_site_label
_atom_site_type_symbol
_atom_site_fract_x
_atom_site_fract_y
_atom_site_fract_z
Mn1 Mn 0.000 0.000 0.000
Ru1 Ru 0.210 0.500 0.226
Cl1 Cl 0.000 0.500 0.500
```

Computed properties:
* calculated density: 8.012 Mg/m³
* formation energy without anion corrections: 1.9 eV/f.u.
* M_tot: 0.86 μB/atom

***

No. 4
MnRu3Cl: optimized geometry, PBE.

```
data_MnRu3Cl
_chemical_formula_sum 'Mn1 Ru3 Cl1'
_symmetry_space_group_name_H-M 'P m -3 m'
_symmetry_Int_Tables_number 221
_symmetry_space_group_name_Hall '-P 4 2 3'
_cell_length_a 4.520
_cell_length_b 4.520
_cell_length_c 4.520
_cell_angle_alpha 90.00
_cell_angle_beta 90.00
_cell_angle_gamma 90.00
loop_
_atom_site_label
_atom_site_type_symbol
_atom_site_fract_x
_atom_site_fract_y
_atom_site_fract_z
Mn1 Mn 0.000 0.000 0.000
Ru1 Ru 0.000 0.000 0.500
Cl1 Cl 0.500 0.500 0.500
```

Computed properties:
* calculated density: 7.079 Mg/m³
* formation energy without anion corrections: 7.7 eV/f.u.
* M_tot: 0.82 μB/atom

***

No. 5
Mn2RuCl: optimized geometry, PBE.

```
data_Mn2RuCl
_chemical_formula_sum 'Mn4 Ru2 Cl2'
_symmetry_space_group_name_H-M 'C m m 2'
_symmetry_Int_Tables_number 35
_cell_length_a 3.024
_cell_length_b 4.886
_cell_length_c 8.385
_cell_angle_alpha 90.00
_cell_angle_beta 90.00
_cell_angle_gamma 90.00
loop_
_symmetry_equiv_pos_as_xyz
'x,y,z'
'-x,-y,z'
'-x,y,z'
'x,-y,z'
'x+1/2,y+1/2,z'
'-x+1/2,-y+1/2,z'
'-x+1/2,y+1/2,z'
'x+1/2,-y+1/2,z'
loop_
_atom_site_label
_atom_site_type_symbol
_atom_site_fract_x
_atom_site_fract_y
_atom_site_fract_z
Mn1 Mn 0.000 0.000 0.000
Mn2 Mn 0.000 0.500 0.256
Ru1 Ru 0.000 0.500 0.777
Cl1 Cl 0.000 0.000 0.475
```

Computed properties:
* calculated density: 6.604 Mg/m³
* formation energy without anion corrections: 1.7 eV/f.u.
* M_tot: 1.70 μB/atom

***

No. 6
Mn2RuCl: optimized geometry, PBE.

```
data_Mn2RuCl
_chemical_formula_sum 'Mn6 Ru3 Cl3'
_symmetry_space_group_name_H-M 'R 3 m'
_symmetry_Int_Tables_number 160
_symmetry_space_group_name_Hall 'R 3 -2"'
_cell_length_a 2.8807
_cell_length_b 2.8807
_cell_length_c 24.1954
_cell_angle_alpha 90.00
_cell_angle_beta 90.00
_cell_angle_gamma 120.00
loop_
_atom_site_label
_atom_site_type_symbol
_atom_site_fract_x
_atom_site_fract_y
_atom_site_fract_z
Mn1 Mn 0.0000 0.0000 0.0000
Mn2 Mn 0.0000 0.0000 0.2495
Ru1 Ru 0.0000 0.0000 0.7427
Cl1 Cl 0.0000 0.0000 0.5093
```

Computed properties:
* calculated density: 7.059 Mg/m³
* formation energy without anion corrections: 1.1 eV/f.u.
* M_tot: 1.33 μB/atom

***

No. 7
Mn2RuCl: optimized geometry, PBE.

```
data_Mn2RuCl
_chemical_formula_sum 'Mn2 Ru1 Cl1'
_symmetry_space_group_name_H-M 'P m m m'
_symmetry_Int_Tables_number 47
_cell_length_a 2.991
_cell_length_b 3.046
_cell_length_c 7.195
_cell_angle_alpha 90.00
_cell_angle_beta 90.00
_cell_angle_gamma 90.00
loop_
_symmetry_equiv_pos_as_xyz
'x,y,z'
'-x,-y,-z'
'-x,-y,z'
'x,y,-z'
'x,-y,-z'
'-x,y,z'
'-x,y,-z'
'x,-y,z'
loop_
_atom_site_label
_atom_site_type_symbol
_atom_site_fract_x
_atom_site_fract_y
_atom_site_fract_z
Mn1 Mn 0.000 0.000 0.214
Ru1 Ru 0.500 0.500 0.000
Cl1 Cl 0.500 0.000 0.500
```

Computed properties:
* calculated density: 6.243 Mg/m³
* formation energy without anion corrections: 0.2 eV/f.u.
* M_tot: 1.90 μB/atom

***

No. 8
MnRu2Cl: optimized geometry, PBE.

```
data_MnRu2Cl
_chemical_formula_sum 'Mn2 Ru4 Cl2'
_symmetry_space_group_name_H-M 'C 1 2/m 1'
_symmetry_Int_Tables_number 12
_cell_length_a 5.428
_cell_length_b 8.722
_cell_length_c 2.871
_cell_angle_alpha 90.00
_cell_angle_beta 119.53
_cell_angle_gamma 90.00
loop_
_symmetry_equiv_pos_as_xyz
'x,y,z'
'-x,-y,-z'
'-x,y,-z'
'x,-y,z'
'x+1/2,y+1/2,z'
'-x+1/2,-y+1/2,-z'
'-x+1/2,y+1/2,-z'
'x+1/2,-y+1/2,z'
loop_
_atom_site_label
_atom_site_type_symbol
_atom_site_fract_x
_atom_site_fract_y
_atom_site_fract_z
Mn1 Mn 0.000 0.000 0.000
Ru1 Ru 0.250 0.250 0.500
Cl1 Cl 0.000 0.500 0.000
```

Computed properties:
* calculated density: 8.213 Mg/m³
* formation energy without anion corrections: 2.7 eV/f.u.
* M_tot: 0.95 μB/atom

***

No. 9
MnRu2Cl: optimized geometry, PBE.

```
data_MnRu2Cl
_chemical_formula_sum 'Mn2 Ru4 Cl2'
_symmetry_space_group_name_H-M 'C m m m'
_symmetry_Int_Tables_number 65
_symmetry_space_group_name_Hall '-C 2 2'
_cell_length_a 2.840
_cell_length_b 4.903
_cell_length_c 8.457
_cell_angle_alpha 90.00
_cell_angle_beta 90.00
_cell_angle_gamma 90.00
loop_
_atom_site_label
_atom_site_type_symbol
_atom_site_fract_x
_atom_site_fract_y
_atom_site_fract_z
Mn1 Mn 0.000 0.000 0.000
Ru1 Ru 0.000 0.500 0.243
Cl1 Cl 0.000 0.000 0.500
```

Computed properties:
* calculated density: 8.251 Mg/m³
* formation energy without anion corrections: 2.2 eV/f.u.
* M_tot: 0.88 μB/atom

***

No. 10
MnRu2Cl: optimized geometry, PBE.

```
data_MnRu2Cl
_chemical_formula_sum 'Mn2 Ru4 Cl2'
_symmetry_space_group_name_H-M 'C 1 m 1'
_symmetry_Int_Tables_number 8
_cell_length_a 7.940
_cell_length_b 2.896
_cell_length_c 6.715
_cell_angle_alpha 90.00
_cell_angle_beta 91.09
_cell_angle_gamma 90.00
loop_
_symmetry_equiv_pos_as_xyz
'x,y,z'
'x,-y,z'
'x+1/2,y+1/2,z'
'x+1/2,-y+1/2,z'
loop_
_atom_site_label
_atom_site_type_symbol
_atom_site_fract_x
_atom_site_fract_y
_atom_site_fract_z
Mn1 Mn 0.000 0.000 0.000
Ru1 Ru 0.053 0.500 0.636
Ru2 Ru 0.288 0.000 0.775
Cl1 Cl 0.058 0.500 0.280
```

Computed properties:
* calculated density: 6.293 Mg/m³
* formation energy without anion corrections: 1.4 eV/f.u.
* M_tot: 1.05 μB/atom

***

No. 11
MnRu2Cl: optimized geometry, PBE.

```
data_MnRu2Cl
_chemical_formula_sum 'Mn2 Ru4 Cl2'
_symmetry_space_group_name_H-M 'I m m 2'
_symmetry_Int_Tables_number 44
_cell_length_a 2.869
_cell_length_b 4.375
_cell_length_c 8.958
_cell_angle_alpha 90.00
_cell_angle_beta 90.00
_cell_angle_gamma 90.00
loop_
_symmetry_equiv_pos_as_xyz
'x,y,z'
'-x,-y,z'
'-x,y,z'
'x,-y,z'
'x+1/2,y+1/2,z+1/2'
'-x+1/2,-y+1/2,z+1/2'
'-x+1/2,y+1/2,z+1/2'
'x+1/2,-y+1/2,z+1/2'
loop_
_atom_site_label
_atom_site_type_symbol
_atom_site_fract_x
_atom_site_fract_y
_atom_site_fract_z
Mn1 Mn 0.000 0.000 0.000
Ru1 Ru 0.000 0.000 0.537
Ru2 Ru 0.000 0.500 0.780
Cl1 Cl 0.000 0.500 0.266
```

Computed properties:
* calculated density: 8.642 Mg/m³
* formation energy without anion corrections: 2.4 eV/f.u.
* M_tot: 0.64 μB/atom

***

No. 12
MnRu2Cl: optimized geometry, PBE.

```
data_MnRu2Cl
_chemical_formula_sum 'Mn1 Ru2 Cl1'
_symmetry_space_group_name_H-M 'P 1 m 1'
_symmetry_Int_Tables_number 6
_cell_length_a 2.921
_cell_length_b 2.893
_cell_length_c 7.572
_cell_angle_alpha 90.00
_cell_angle_beta 90.19
_cell_angle_gamma 90.00
loop_
_symmetry_equiv_pos_as_xyz
'x,y,z'
'x,-y,z'
loop_
_atom_site_label
_atom_site_type_symbol
_atom_site_fract_x
_atom_site_fract_y
_atom_site_fract_z
Mn1 Mn 0.000 0.000 0.000
Ru1 Ru 0.497 0.500 0.761
Ru2 Ru 0.996 0.000 0.552
Cl1 Cl 0.992 0.500 0.271
```

Computed properties:
* calculated density: 7.592 Mg/m³
* formation energy without anion corrections: 0.8 eV/f.u.
* M_tot: 1.16 μB/atom

***

No. 13
Mn2RuCl: optimized geometry, PBE.

```
data_Mn2RuCl
_chemical_formula_sum 'Mn4 Ru2 Cl2'
_symmetry_space_group_name_H-M 'C m m m'
_symmetry_Int_Tables_number 65
_symmetry_space_group_name_Hall '-C 2 2'
_cell_length_a 5.656
_cell_length_b 7.397
_cell_length_c 2.927
_cell_angle_alpha 90.00
_cell_angle_beta 90.00
_cell_angle_gamma 90.00
loop_
_atom_site_label
_atom_site_type_symbol
_atom_site_fract_x
_atom_site_fract_y
_atom_site_fract_z
Mn1 Mn 0.250 0.250 0.000
Ru1 Ru 0.000 0.000 0.500
Cl1 Cl 0.000 0.500 0.500
```

Computed properties:
* calculated density: 6.684 Mg/m³
* formation energy without anion corrections: 1.9 eV/f.u.
* M_tot: 2.00 μB/atom

***

No. 14
Mn2RuCl: optimized geometry, PBE.

```
data_Mn2RuCl
_chemical_formula_sum 'Mn6 Ru3 Cl3'
_symmetry_space_group_name_H-M 'R -3 m'
_symmetry_Int_Tables_number 166
_symmetry_space_group_name_Hall '-R 3 2"'
_cell_length_a 3.0558
_cell_length_b 3.0558
_cell_length_c 23.3889
_cell_angle_alpha 90.00
_cell_angle_beta 90.00
_cell_angle_gamma 120.00
loop_
_atom_site_label
_atom_site_type_symbol
_atom_site_fract_x
_atom_site_fract_y
_atom_site_fract_z
Mn1 Mn 0.0000 0.0000 0.2481
Ru1 Ru 0.0000 0.0000 0.5000
Cl1 Cl 0.0000 0.0000 0.0000
```

Computed properties:
* calculated density: 6.489 Mg/m³
* formation energy without anion corrections: 0.6 eV/f.u.
* M_tot: 1.99 μB/atom

***

No. 15
MnRu2Cl: optimized geometry, PBE.

```
data_MnRu2Cl
_chemical_formula_sum 'Mn1 Ru2 Cl1'
_symmetry_space_group_name_H-M 'P 4 m m'
_symmetry_Int_Tables_number 99
_cell_length_a 2.895
_cell_length_b 2.895
_cell_length_c 7.311
_cell_angle_alpha 90.00
_cell_angle_beta 90.00
_cell_angle_gamma 90.00
loop_
_symmetry_equiv_pos_as_xyz
'x,y,z'
'-y,x,z'
'-x,-y,z'
'y,-x,z'
'-x,y,z'
'y,x,z'
'x,-y,z'
'-y,-x,z'
loop_
_atom_site_label
_atom_site_type_symbol
_atom_site_fract_x
_atom_site_fract_y
_atom_site_fract_z
Mn1 Mn 0.000 0.000 0.000
Ru1 Ru 0.000 0.000 0.472
Ru2 Ru 0.500 0.500 0.257
Cl1 Cl 0.500 0.500 0.748
```

Computed properties:
* calculated density: 7.927 Mg/m³
* formation energy without anion corrections: 1.1 eV/f.u.
* M_tot: 1.10 μB/atom